No. 1
Here is a relaxed structure of LaTl2Cu2 from the Alexandria database. Energies are from PBE-GGA.

**Symmetry**: No. 139
**ΔE_f**: -0.063 eV/atom
**Energy relative to the lowest polymorph listed for this composition**: 0.244 eV/f.u.

a b c (Å): 4.685 4.685 6.257
angles (deg): 68.02 68.02 90.00
Fractional positions:
Tl  0.364  0.364  0.271
Tl  0.636  0.636  0.729
Cu  0.750  0.250  0.500
Cu  0.250  0.750  0.500
La  0.000  0.000  0.000

=====

No. 2
Here is a relaxed structure of LaTl2Cu2 from the Alexandria database. Energies are from PBE-GGA.

**Symmetry**: No. 127
**ΔE_f**: 0.010 eV/atom
**Energy relative to the lowest polymorph listed for this composition**: 0.608 eV/f.u.

a b c (Å): 7.447 7.447 4.244
angles (deg): 90.00 90.00 90.00
Fractional positions:
Tl  0.185  0.685  0.500
Tl  0.685  0.815  0.500
Tl  0.815  0.315  0.500
Tl  0.315  0.185  0.500
Cu  0.386  0.886  0.000
Cu  0.886  0.614  0.000
Cu  0.614  0.114  0.000
Cu  0.114  0.386  0.000
La  0.000  0.000  0.000
La  0.500  0.500  0.000